[1]
Compound: Co2Mo
Source: the Alexandria database
Functional: PBE-GGA
Structure: optimized geometry

Lattice parameters (Å, degrees): 3.103 3.103 16.508 90.00 90.00 90.00
Space group I4_1/amd (No. 141, origin choice 2)
Asymmetric unit:
1 Co 0.000 0.250 0.302 (multiplicity 8)
2 Mo 0.000 0.250 0.875 (multiplicity 4)

Properties
DFT formation energy ... 1.37 eV per formula unit
Magnetic moment ... 0.01 μB/cell
Raw total energy ... -94.7 eV for the cell shown

---

[2]
Compound: Sc2VPb
Source: the Alexandria database
Functional: PBE-GGA
Structure: optimized geometry

Lattice parameters (Å, degrees): 7.796 7.796 5.990 90.00 90.00 90.00
Space group I-42d (No. 122)
Asymmetric unit:
1 Sc 0.221 0.750 0.125 (multiplicity 8)
2 V 0.000 0.000 0.000 (multiplicity 4)
3 Pb 0.000 0.000 0.500 (multiplicity 4)

Properties
DFT formation energy ... 1.60 eV per formula unit
Magnetic moment ... 10.86 μB/cell
Raw total energy ... -95.6 eV for the cell shown

---

[3]
Compound: Ba4CuSn3O12
Source: the Alexandria database
Functional: PBE-GGA
Structure: optimized geometry

Lattice parameters (Å, degrees): 8.330 8.330 8.330 90.00 90.00 90.00
Space group Im-3m (No. 229)
Asymmetric unit:
1 Ba 0.250 0.250 0.250 (multiplicity 8)
2 Cu 0.000 0.000 0.000 (multiplicity 2)
3 Sn 0.000 0.000 0.500 (multiplicity 6)
4 O 0.000 0.000 0.249 (multiplicity 12)
5 O 0.000 0.250 0.500 (multiplicity 12)

Properties
Uncorrected formation energy ... -1.884 eV per atom
Magnetic moment ... 5.17 μB/cell
Raw total energy ... -242.0 eV for the cell shown

---

[4]
Compound: BaTlIr2
Source: the Alexandria database
Functional: PBE-GGA
Structure: optimized geometry

Lattice parameters (Å, degrees): 7.081 7.081 7.081 90.00 90.00 90.00
Space group Fm-3m (No. 225)
Asymmetric unit:
1 Ba 0.000 0.000 0.000 (multiplicity 4)
2 Tl 0.000 0.000 0.500 (multiplicity 4)
3 Ir 0.250 0.250 0.250 (multiplicity 8)

Properties
DFT formation energy ... 2.65 eV per formula unit
Magnetic moment ... 0.00 μB/cell
Raw total energy ... -77.5 eV for the cell shown

---

[5]
Compound: Cd7Ga4Hg
Source: the Alexandria database
Functional: PBE-GGA
Structure: optimized geometry

Lattice parameters (Å, degrees): 4.9416 4.9416 12.7297 90.00 90.00 120.00
Space group P-3m1 (No. 164)
Asymmetric unit:
1 Cd 0.0000 0.0000 0.0000 (multiplicity 1)
2 Cd 0.0000 0.0000 0.2514 (multiplicity 2)
3 Cd 0.3333 0.6667 0.1491 (multiplicity 2)
4 Cd 0.3333 0.6667 0.4045 (multiplicity 2)
5 Ga 0.3333 0.6667 0.6661 (multiplicity 2)
6 Ga 0.3333 0.6667 0.8985 (multiplicity 2)
7 Hg 0.0000 0.0000 0.5000 (multiplicity 1)

Properties
DFT formation energy ... 0.85 eV per formula unit
Magnetic moment ... 0.00 μB/cell
Raw total energy ... -18.0 eV for the cell shown

---

[6]
Compound: TbNi3B2
Source: the Alexandria database
Functional: PBE-GGA
Structure: optimized geometry

Lattice parameters (Å, degrees): 5.051 4.766 6.272 90.00 113.59 90.00
Space group P2_1/m (No. 11)
Asymmetric unit:
1 Tb 0.094 0.250 0.185 (multiplicity 2)
2 Ni 0.039 0.250 0.588 (multiplicity 2)
3 Ni 0.450 0.750 0.412 (multiplicity 2)
4 Ni 0.480 0.250 0.959 (multiplicity 2)
5 B 0.347 0.566 0.695 (multiplicity 4)

Properties
DFT formation energy ... -2.68 eV per formula unit
Magnetic moment ... 0.00 μB/cell
Raw total energy ... -76.0 eV for the cell shown